No. 1
Compound: AcPmIr
Source: Alexandria via LeMat-Bulk
Functional: GGA-PBE
Structure: optimized geometry

Calculated volume in Å³/atom: 32.43
Energy above the most stable polymorph in this dataset in eV/f.u.: 0.080
Formation energy in meV/atom: -536.3

The structure in CIF format:
```
data_AcPmIr
_space_group_name_H-M_alt 'P 1 21/m 1'
_space_group_IT_number 11
_cell_length_a 6.143
_cell_length_b 4.410
_cell_length_c 7.630
_cell_angle_alpha 90.00
_cell_angle_beta 109.71
_cell_angle_gamma 90.00
loop_
_space_group_symop_operation_xyz
'x,y,z'
'-x,-y,-z'
'-x,y+1/2,-z'
'x,-y+1/2,z'
loop_
_atom_site_label
_atom_site_type_symbol
_atom_site_fract_x
_atom_site_fract_y
_atom_site_fract_z
Ac1 Ac 0.228 0.250 0.436
Pm1 Pm 0.260 0.250 0.943
Ir1 Ir 0.319 0.750 0.721
```

=====

No. 2
Compound: Ac5Pm2Ir5
Source: Alexandria via LeMat-Bulk
Functional: GGA-PBE
Structure: optimized geometry

Calculated volume in Å³/atom: 29.84
Formation energy in meV/atom: -601.3

The structure in CIF format:
```
data_Ac5Pm2Ir5
_space_group_name_H-M_alt 'C 1 2/m 1'
_space_group_IT_number 12
_cell_length_a 14.078
_cell_length_b 4.221
_cell_length_c 12.554
_cell_angle_alpha 90.00
_cell_angle_beta 106.28
_cell_angle_gamma 90.00
loop_
_space_group_symop_operation_xyz
'x,y,z'
'-x,-y,-z'
'-x,y,-z'
'x,-y,z'
'x+1/2,y+1/2,z'
'-x+1/2,-y+1/2,-z'
'-x+1/2,y+1/2,-z'
'x+1/2,-y+1/2,z'
loop_
_atom_site_label
_atom_site_type_symbol
_atom_site_fract_x
_atom_site_fract_y
_atom_site_fract_z
Ac1 Ac 0.000 0.000 0.000
Ac2 Ac 0.154 0.000 0.547
Ac3 Ac 0.239 0.000 0.857
Pm1 Pm 0.042 0.500 0.287
Ir1 Ir 0.000 0.500 0.500
Ir2 Ir 0.114 0.500 0.920
Ir3 Ir 0.188 0.000 0.307
```

=====

No. 3
Compound: AcPm2Ir
Source: Alexandria via LeMat-Bulk
Functional: GGA-PBE
Structure: optimized geometry

Calculated volume in Å³/atom: 38.20
Energy above the most stable polymorph in this dataset in eV/f.u.: 1.045
Formation energy in meV/atom: -189.9

The structure in CIF format:
```
data_AcPm2Ir
_space_group_name_H-M_alt 'R -3 m'
_space_group_IT_number 166
_space_group_name_Hall '-R 3 2"'
_cell_length_a 4.0218
_cell_length_b 4.0218
_cell_length_c 32.7231
_cell_angle_alpha 90.00
_cell_angle_beta 90.00
_cell_angle_gamma 120.00
loop_
_atom_site_label
_atom_site_type_symbol
_atom_site_fract_x
_atom_site_fract_y
_atom_site_fract_z
Ac1 Ac 0.0000 0.0000 0.0000
Pm1 Pm 0.0000 0.0000 0.1187
Ir1 Ir 0.0000 0.0000 0.5000
```

=====

No. 4
Compound: Ac4PmIr3
Source: Alexandria via LeMat-Bulk
Functional: GGA-PBE
Structure: optimized geometry

Calculated volume in Å³/atom: 33.98
Formation energy in meV/atom: -593.3

The structure in CIF format:
```
data_Ac4PmIr3
_space_group_name_H-M_alt 'C 1 c 1'
_space_group_IT_number 9
_cell_length_a 14.253
_cell_length_b 7.534
_cell_length_c 11.012
_cell_angle_alpha 90.00
_cell_angle_beta 113.14
_cell_angle_gamma 90.00
loop_
_space_group_symop_operation_xyz
'x,y,z'
'x,-y,z+1/2'
'x+1/2,y+1/2,z'
'x+1/2,-y+1/2,z+1/2'
loop_
_atom_site_label
_atom_site_type_symbol
_atom_site_fract_x
_atom_site_fract_y
_atom_site_fract_z
Ac1 Ac 0.000 0.163 0.000
Ac2 Ac 0.093 0.326 0.705
Ac3 Ac 0.190 0.165 0.417
Ac4 Ac 0.290 0.327 0.106
Pm1 Pm 0.400 0.174 0.806
Ir1 Ir 0.090 0.500 0.453
Ir2 Ir 0.207 0.001 0.676
Ir3 Ir 0.485 0.491 0.744
```

=====

No. 5
Compound: Ac2Pm5Ir4
Source: Alexandria via LeMat-Bulk
Functional: GGA-PBE
Structure: optimized geometry

Calculated volume in Å³/atom: 30.42
Formation energy in meV/atom: -391.7

The structure in CIF format:
```
data_Ac2Pm5Ir4
_space_group_name_H-M_alt 'C 1 2/m 1'
_space_group_IT_number 12
_cell_length_a 22.961
_cell_length_b 4.063
_cell_length_c 7.491
_cell_angle_alpha 90.00
_cell_angle_beta 106.70
_cell_angle_gamma 90.00
loop_
_space_group_symop_operation_xyz
'x,y,z'
'-x,-y,-z'
'-x,y,-z'
'x,-y,z'
'x+1/2,y+1/2,z'
'-x+1/2,-y+1/2,-z'
'-x+1/2,y+1/2,-z'
'x+1/2,-y+1/2,z'
loop_
_atom_site_label
_atom_site_type_symbol
_atom_site_fract_x
_atom_site_fract_y
_atom_site_fract_z
Ac1 Ac 0.073 0.000 0.105
Pm1 Pm 0.000 0.000 0.500
Pm2 Pm 0.178 0.500 0.930
Pm3 Pm 0.184 0.500 0.453
Ir1 Ir 0.027 0.500 0.808
Ir2 Ir 0.212 0.000 0.218
```

=====

No. 6
Compound: AcPm2Ir
Source: Alexandria via LeMat-Bulk
Functional: GGA-PBE
Structure: optimized geometry

Calculated volume in Å³/atom: 31.10
Energy above the most stable polymorph in this dataset in eV/f.u.: 0.660
Formation energy in meV/atom: -286.1

The structure in CIF format:
```
data_AcPm2Ir
_space_group_name_H-M_alt 'P 4/m m m'
_space_group_IT_number 123
_space_group_name_Hall '-P 4 2'
_cell_length_a 3.650
_cell_length_b 3.650
_cell_length_c 9.341
_cell_angle_alpha 90.00
_cell_angle_beta 90.00
_cell_angle_gamma 90.00
loop_
_atom_site_label
_atom_site_type_symbol
_atom_site_fract_x
_atom_site_fract_y
_atom_site_fract_z
Ac1 Ac 0.000 0.000 0.000
Pm1 Pm 0.500 0.500 0.326
Ir1 Ir 0.000 0.000 0.500
```

=====

No. 7
Compound: AcPm4Ir2
Source: Alexandria via LeMat-Bulk
Functional: GGA-PBE
Structure: optimized geometry

Calculated volume in Å³/atom: 29.79
Energy above the most stable polymorph in this dataset in eV/f.u.: 0.023
Formation energy in meV/atom: -402.2

The structure in CIF format:
```
data_AcPm4Ir2
_space_group_name_H-M_alt 'P 42/m n m'
_space_group_IT_number 136
_space_group_name_Hall '-P 4n 2n'
_cell_length_a 9.299
_cell_length_b 9.299
_cell_length_c 4.824
_cell_angle_alpha 90.00
_cell_angle_beta 90.00
_cell_angle_gamma 90.00
loop_
_atom_site_label
_atom_site_type_symbol
_atom_site_fract_x
_atom_site_fract_y
_atom_site_fract_z
Ac1 Ac 0.000 0.000 0.000
Pm1 Pm 0.047 0.306 0.500
Ir1 Ir 0.225 0.225 0.000
```

=====

No. 8
Compound: AcPmIr
Source: Alexandria via LeMat-Bulk
Functional: GGA-PBE
Structure: optimized geometry

Calculated volume in Å³/atom: 30.78
Energy above the most stable polymorph in this dataset in eV/f.u.: 0.218
Formation energy in meV/atom: -490.2

The structure in CIF format:
```
data_AcPmIr
_space_group_name_H-M_alt 'F -4 3 m'
_space_group_IT_number 216
_space_group_name_Hall 'F -4 2 3'
_cell_length_a 7.175
_cell_length_b 7.175
_cell_length_c 7.175
_cell_angle_alpha 90.00
_cell_angle_beta 90.00
_cell_angle_gamma 90.00
loop_
_atom_site_label
_atom_site_type_symbol
_atom_site_fract_x
_atom_site_fract_y
_atom_site_fract_z
Ac1 Ac 0.000 0.000 0.000
Pm1 Pm 0.000 0.000 0.500
Ir1 Ir 0.250 0.250 0.750
```

=====

No. 9
Compound: AcPm2Ir
Source: Alexandria via LeMat-Bulk
Functional: GGA-PBE
Structure: optimized geometry

Calculated volume in Å³/atom: 31.15
Energy above the most stable polymorph in this dataset in eV/f.u.: 0.105
Formation energy in meV/atom: -424.9

The structure in CIF format:
```
data_AcPm2Ir
_space_group_name_H-M_alt 'P 1 21/m 1'
_space_group_IT_number 11
_cell_length_a 4.026
_cell_length_b 9.874
_cell_length_c 6.584
_cell_angle_alpha 90.00
_cell_angle_beta 107.77
_cell_angle_gamma 90.00
loop_
_space_group_symop_operation_xyz
'x,y,z'
'-x,-y,-z'
'-x,y+1/2,-z'
'x,-y+1/2,z'
loop_
_atom_site_label
_atom_site_type_symbol
_atom_site_fract_x
_atom_site_fract_y
_atom_site_fract_z
Ac1 Ac 0.076 0.250 0.154
Pm1 Pm 0.354 0.069 0.708
Ir1 Ir 0.238 0.750 0.476
```

=====

No. 10
Compound: Ac5Pm2Ir4
Source: Alexandria via LeMat-Bulk
Functional: GGA-PBE
Structure: optimized geometry

Calculated volume in Å³/atom: 30.52
Formation energy in meV/atom: -582.0

The structure in CIF format:
```
data_Ac5Pm2Ir4
_space_group_name_H-M_alt 'C 1 2/m 1'
_space_group_IT_number 12
_cell_length_a 17.767
_cell_length_b 4.325
_cell_length_c 10.448
_cell_angle_alpha 90.00
_cell_angle_beta 123.25
_cell_angle_gamma 90.00
loop_
_space_group_symop_operation_xyz
'x,y,z'
'-x,-y,-z'
'-x,y,-z'
'x,-y,z'
'x+1/2,y+1/2,z'
'-x+1/2,-y+1/2,-z'
'-x+1/2,y+1/2,-z'
'x+1/2,-y+1/2,z'
loop_
_atom_site_label
_atom_site_type_symbol
_atom_site_fract_x
_atom_site_fract_y
_atom_site_fract_z
Ac1 Ac 0.000 0.000 0.000
Ac2 Ac 0.146 0.500 0.370
Ac3 Ac 0.247 0.500 0.834
Pm1 Pm 0.044 0.000 0.695
Ir1 Ir 0.093 0.500 0.910
Ir2 Ir 0.161 0.000 0.578
```

=====

No. 11
Compound: AcPm3Ir8
Source: Alexandria via LeMat-Bulk
Functional: GGA-PBE
Structure: optimized geometry

Calculated volume in Å³/atom: 19.18
Formation energy in meV/atom: -648.3

The structure in CIF format:
```
data_AcPm3Ir8
_space_group_name_H-M_alt 'P 3 m 1'
_space_group_IT_number 156
_cell_length_a 5.4616
_cell_length_b 5.4616
_cell_length_c 8.9077
_cell_angle_alpha 90.00
_cell_angle_beta 90.00
_cell_angle_gamma 120.00
loop_
_space_group_symop_operation_xyz
'x,y,z'
'-y,x-y,z'
'-x+y,-x,z'
'-y,-x,z'
'-x+y,y,z'
'x,x-y,z'
loop_
_atom_site_label
_atom_site_type_symbol
_atom_site_fract_x
_atom_site_fract_y
_atom_site_fract_z
Ac1 Ac 0.0000 0.0000 0.0000
Pm1 Pm 0.0000 0.0000 0.3665
Pm2 Pm 0.6667 0.3333 0.5004
Pm3 Pm 0.6667 0.3333 0.8618
Ir1 Ir 0.1650 0.3299 0.6790
Ir2 Ir 0.3333 0.6667 0.4327
Ir3 Ir 0.3333 0.6667 0.9317
Ir4 Ir 0.5028 0.0057 0.1871
```

=====

Q: Which value of formation energy does entry 9 give?
A: -424.9 meV/atom

=====

Q: Among the records above, which one has the lowest formation energy?
A: AcPm3Ir8

=====

Q: Which of these has the lowest formation energy?
A: AcPm3Ir8